# 1
VASP calculation (GGA-PBE) on an optimized crystal structure of RbCd2PtPb.

Computed properties:
ΔE_f ... -0.16 eV per atom
Magnetic moment ... 0.0 μB per formula unit
DFT total energy ... -2.670 eV per atom

a = 5.3885 Å, b = 5.3885 Å, c = 5.4353 Å
α = 90.00°, β = 90.00°, γ = 90.00°
With the nearest neighbours (Å) after each atom.
Fractional positions:
Rb 0.5000 0.5000 0.5000  4 Pb 3.81, 8 Cd 3.83
Pt 0.0000 0.0000 0.0000  4 Cd 2.69, 2 Pb 2.72
Cd 0.5000 0.0000 0.0000  2 Pt 2.69
Cd 0.0000 0.5000 0.0000  2 Pt 2.69
Pb 0.0000 0.0000 0.5000  2 Pt 2.72

***

# 2
VASP calculation (GGA-PBE) on an optimized crystal structure of La2Sm2TmCd5.

Computed properties:
ΔE_f ... -0.20 eV per atom
Magnetic moment ... 0.0 μB per formula unit
DFT total energy ... -3.032 eV per atom

a = 4.8289 Å, b = 10.7654 Å, c = 10.7654 Å
α = 90.00°, β = 90.00°, γ = 90.00°
With the nearest neighbours (Å) after each atom.
Fractional positions:
Cd 0.5000 0.9349 0.1904  3 Cd 3.06-3.41, 2 Sm 3.19, 2 Tm 3.24
Cd 0.5000 0.1904 0.0651  3 Cd 3.06-3.41, 2 Sm 3.19, 2 Tm 3.24
Cd 0.5000 0.0651 0.8096  3 Cd 3.06-3.41, 2 Sm 3.19, 2 Tm 3.24
Cd 0.5000 0.0000 0.5000  4 Sm 3.08, 4 Cd 3.41
Cd 0.5000 0.6904 0.4349  3 Cd 3.06-3.41, 2 Sm 3.19, 2 Tm 3.24
Cd 0.5000 0.3096 0.5651  3 Cd 3.06-3.41, 2 Sm 3.19, 2 Tm 3.24
Cd 0.5000 0.5000 0.0000  4 Sm 3.08, 4 Cd 3.41
Cd 0.5000 0.8096 0.9349  3 Cd 3.06-3.41, 2 Sm 3.19, 2 Tm 3.24
Cd 0.5000 0.4349 0.3096  3 Cd 3.06-3.41, 2 Sm 3.19, 2 Tm 3.24
Cd 0.5000 0.5651 0.6904  3 Cd 3.06-3.41, 2 Sm 3.19, 2 Tm 3.24
La 0.0000 0.3249 0.8249  3 Sm 3.03-3.28
La 0.0000 0.6751 0.1751  3 Sm 3.03-3.28
La 0.0000 0.1751 0.3249  3 Sm 3.03-3.28
La 0.0000 0.8249 0.6751  3 Sm 3.03-3.28
Sm 0.0000 0.1256 0.6256  3 La 3.03-3.28, 6 Cd 3.08-3.19
Sm 0.0000 0.3744 0.1256  3 La 3.03-3.28, 6 Cd 3.08-3.19
Sm 0.0000 0.8744 0.3744  3 La 3.03-3.28, 6 Cd 3.08-3.19
Sm 0.0000 0.6256 0.8744  3 La 3.03-3.28, 6 Cd 3.08-3.19
Tm 0.0000 0.5000 0.5000  8 Cd 3.24
Tm 0.0000 0.0000 0.0000  8 Cd 3.24

***

# 3
VASP calculation (GGA-PBE) on an optimized crystal structure of Pm4SeS2.

Computed properties:
Magnetic moment ... 0.0 μB per formula unit
DFT total energy ... -6.048 eV per atom
Formation energy without anion corrections ... -38.19 kcal/mol of atoms

a = 4.0272 Å, b = 4.0272 Å, c = 13.4888 Å
α = 81.41°, β = 81.41°, γ = 60.00°
With the nearest neighbours (Å) after each atom.
Fractional positions:
Pm 0.2859 0.2859 0.1422  3 S 2.81, 3 Se 3.00
Pm 0.8726 0.8726 0.3821  3 S 2.83
Pm 0.7141 0.7141 0.8578  3 S 2.81, 3 Se 3.00
Pm 0.1274 0.1274 0.6179  3 S 2.83
Se 0.0000 0.0000 0.0000  6 Pm 3.00
S 0.5796 0.5796 0.2613  6 Pm 2.81-2.83
S 0.4204 0.4204 0.7387  6 Pm 2.81-2.83

***

# 4
VASP calculation (GGA-PBE) on an optimized crystal structure of CrSbHI2.

Computed properties:
E above lowest polymorph ... 0.000 eV/atom
Magnetic moment ... 4.7 μB per formula unit
DFT total energy ... -3.472 eV per atom

a = 5.6225 Å, b = 5.6225 Å, c = 3.9148 Å
α = 90.00°, β = 90.00°, γ = 90.00°
With the nearest neighbours (Å) after each atom.
Fractional positions:
H 0.0000 0.0000 0.0000  2 Sb 1.96
Sb 0.0000 0.0000 0.5000  2 H 1.96
Cr 0.5000 0.5000 0.5000  8 I 3.43
I 0.0000 0.5000 0.0000  2 H 2.81
I 0.5000 0.0000 0.0000  2 H 2.81

***

# 5
VASP calculation (GGA-PBE) on an optimized crystal structure of Pm7Dy3Y.

Computed properties:
ΔE_f ... 0.12 eV per atom
E above lowest polymorph ... 0.000 eV/atom
Magnetic moment ... 0.0 μB per formula unit
DFT total energy ... -4.748 eV per atom

a = 9.0697 Å, b = 10.0205 Å, c = 5.6469 Å
α = 90.00°, β = 128.51°, γ = 105.86°
With the nearest neighbours (Å) after each atom.
Fractional positions:
Y 0.5000 0.5000 0.5000  2 Dy 3.55, 10 Pm 3.58-3.87
Pm 0.8199 0.6401 0.3199  5 Pm 3.27-3.61, 2 Dy 3.58, 2 Y 3.59
Pm 0.0826 0.1706 0.0827  3 Pm 3.20-3.34, 1 Dy 3.55, 1 Y 3.58
Pm 0.1801 0.3599 0.6801  5 Pm 3.27-3.61, 2 Dy 3.58, 2 Y 3.59
Pm 0.3526 0.7082 0.8526  3 Pm 3.27-3.61, 2 Dy 3.38-3.39
Pm 0.6474 0.2918 0.1474  3 Pm 3.27-3.61, 2 Dy 3.38-3.39
Pm 0.9174 0.8294 0.9173  3 Pm 3.20-3.34, 1 Dy 3.55, 1 Y 3.58
Pm 0.5000 0.0000 0.5000  4 Dy 3.45
Dy 0.7794 0.9989 0.2792  1 Dy 3.12, 4 Pm 3.38-3.45
Dy 0.2206 0.0011 0.7208  1 Dy 3.12, 4 Pm 3.38-3.45
Dy 0.0000 0.5000 0.0000  10 Pm 3.55-3.87, 2 Y 3.55

***

# 6
VASP calculation (GGA-PBE) on an optimized crystal structure of GaTe3N.

Computed properties:
E above lowest polymorph ... 0.000 eV/atom
Magnetic moment ... 0.0 μB per formula unit
DFT total energy ... -3.533 eV per atom
Formation energy without anion corrections ... 14.34 kcal/mol of atoms

a = 4.8247 Å, b = 4.8247 Å, c = 4.8247 Å
α = 90.00°, β = 90.00°, γ = 90.00°
With the nearest neighbours (Å) after each atom.
Fractional positions:
Ga 0.5000 0.5000 0.5000  12 Te 3.41
Te 0.5000 0.0000 0.0000  2 N 2.41
Te 0.0000 0.5000 0.0000  2 N 2.41
Te 0.0000 0.0000 0.5000  2 N 2.41
N 0.0000 0.0000 0.0000  6 Te 2.41

***

# 7
VASP calculation (GGA-PBE) on an optimized crystal structure of Mn2GaMoH.

Computed properties:
Magnetic moment ... 4.2 μB per formula unit
DFT total energy ... -7.120 eV per atom

a = 3.7635 Å, b = 3.7635 Å, c = 3.9925 Å
α = 90.00°, β = 90.00°, γ = 90.00°
With the nearest neighbours (Å) after each atom.
Fractional positions:
H 0.0000 0.0000 0.0000  4 Mn 1.88, 2 Mo 2.00
Mo 0.0000 0.0000 0.5000  2 H 2.00
Mn 0.0000 0.5000 0.0000  2 H 1.88
Mn 0.5000 0.0000 0.0000  2 H 1.88
Ga 0.5000 0.5000 0.5000  4 Mo 2.66, 8 Mn 2.74

***

# 8
VASP calculation (GGA-PBE) on an optimized crystal structure of Ga4CuIr2.

Computed properties:
ΔE_f ... -0.14 eV per atom
Magnetic moment ... 0.0 μB per formula unit
DFT total energy ... -4.991 eV per atom

a = 6.4337 Å, b = 5.0434 Å, c = 7.0659 Å
α = 90.00°, β = 112.53°, γ = 90.00°
With the nearest neighbours (Å) after each atom.
Fractional positions:
Cu 0.7543 0.2500 0.7587  4 Ga 2.37-2.52
Cu 0.2457 0.7500 0.2413  4 Ga 2.37-2.52
Ga 0.9921 0.2500 0.5733  1 Cu 2.37, 1 Ir 2.63
Ga 0.4249 0.9941 0.7702  2 Ga 2.46-2.58, 1 Cu 2.51, 3 Ir 2.57-2.64
Ga 0.9266 0.2500 0.1441  1 Cu 2.52, 4 Ir 2.54-2.71
Ga 0.4249 0.5059 0.7702  2 Ga 2.46-2.58, 1 Cu 2.51, 3 Ir 2.57-2.64
Ga 0.0734 0.7500 0.8559  1 Cu 2.52, 4 Ir 2.54-2.71
Ga 0.5751 0.4941 0.2298  2 Ga 2.46-2.58, 1 Cu 2.51, 3 Ir 2.57-2.64
Ga 0.5751 0.0059 0.2298  2 Ga 2.46-2.58, 1 Cu 2.51, 3 Ir 2.57-2.64
Ga 0.0079 0.7500 0.4267  1 Cu 2.37, 1 Ir 2.63
Ir 0.2196 0.2500 0.9757  8 Ga 2.59-2.71, 1 Cu 2.79
Ir 0.7804 0.7500 0.0243  8 Ga 2.59-2.71, 1 Cu 2.79
Ir 0.3147 0.2500 0.4311  4 Ga 2.54-2.63, 2 Cu 2.81
Ir 0.6853 0.7500 0.5689  4 Ga 2.54-2.63, 2 Cu 2.81

***

# 9
VASP calculation (GGA-PBE) on an optimized crystal structure of NpTlPtSe3.

Computed properties:
Magnetic moment ... 2.6 μB per formula unit
DFT total energy ... -5.986 eV per atom
Formation energy without anion corrections ... -15.81 kcal/mol of atoms

a = 4.0409 Å, b = 9.1725 Å, c = 9.4445 Å
α = 110.64°, β = 90.00°, γ = 90.00°
With the nearest neighbours (Å) after each atom.
Fractional positions:
Pt 0.2500 0.1092 0.5482  3 Se 2.50-2.68, 2 Pt 2.76
Pt 0.7500 0.8908 0.4518  3 Se 2.50-2.68, 2 Pt 2.76
Tl 0.7500 0.8185 0.7830  7 Se 3.30-3.45, 1 Pt 3.42
Tl 0.2500 0.1815 0.2170  7 Se 3.30-3.45, 1 Pt 3.42
Se 0.7500 0.4494 0.1478  3 Np 2.85
Se 0.2500 0.1167 0.8343  1 Pt 2.68, 2 Np 2.79
Se 0.2500 0.5506 0.8522  3 Np 2.85
Se 0.2500 0.7449 0.4825  2 Pt 2.50, 1 Np 2.75
Se 0.7500 0.2551 0.5175  2 Pt 2.50, 1 Np 2.75
Se 0.7500 0.8833 0.1657  1 Pt 2.68, 2 Np 2.79
Np 0.7500 0.3235 0.8249  6 Se 2.75-2.85
Np 0.2500 0.6765 0.1751  6 Se 2.75-2.85

***

# 10
VASP calculation (GGA-PBE) on an optimized crystal structure of LaSm2Mg2.

Computed properties:
ΔE_f ... 0.23 eV per atom
E above lowest polymorph ... 0.302 eV/atom
Magnetic moment ... 0.0 μB per formula unit
DFT total energy ... -3.286 eV per atom

a = 4.8066 Å, b = 4.8066 Å, c = 14.6208 Å
α = 99.46°, β = 99.46°, γ = 90.00°
With the nearest neighbours (Å) after each atom.
Fractional positions:
Sm 0.0000 0.5000 0.0000  4 Mg 3.19, 4 Sm 3.40
Sm 0.5000 0.0000 0.0000  4 Mg 3.19, 4 Sm 3.40
Sm 0.1764 0.1764 0.3528  5 Mg 2.92-3.19
Sm 0.8236 0.8236 0.6472  5 Mg 2.92-3.19
Mg 0.0737 0.0737 0.1473  5 Sm 2.92-3.19
Mg 0.2500 0.7500 0.5000  4 Sm 3.19, 4 Mg 3.40
Mg 0.7500 0.2500 0.5000  4 Sm 3.19, 4 Mg 3.40
Mg 0.9263 0.9263 0.8527  5 Sm 2.92-3.19
La 0.3694 0.3694 0.7388  4 Sm 3.64, 4 Mg 3.76
La 0.6306 0.6306 0.2612  4 Sm 3.64, 4 Mg 3.76